The following is a DFT calculation (PBE+U) of FeNiIrO6 after structural relaxation.

Calculated values
Symmetry = No. 163
Total energy = -6.03 eV/atom
Theoretical density = 6.869 g cm⁻³

The structure in POSCAR format:
```
FeNiIrO6
1.0
5.086 0.000 0.000
-2.543 4.405 0.000
0.000 0.000 8.692
Fe Ni Ir O
2 2 2 12
direct
0.333 0.667 0.250 Fe
0.667 0.333 0.750 Fe
0.000 0.000 0.000 Ni
0.000 0.000 0.500 Ni
0.333 0.667 0.750 Ir
0.667 0.333 0.250 Ir
0.011 0.354 0.629 O
0.011 0.657 0.871 O
0.343 0.354 0.871 O
0.343 0.989 0.629 O
0.354 0.011 0.129 O
0.354 0.343 0.371 O
0.646 0.657 0.629 O
0.646 0.989 0.871 O
0.657 0.011 0.371 O
0.657 0.646 0.129 O
0.989 0.343 0.129 O
0.989 0.646 0.371 O
```